# 1
DFT (PBE-GGA) results for an optimized crystal structure of Mg2SnF.

a = 5.4625 Å, b = 5.4625 Å, c = 11.8194 Å
α = 90.00°, β = 90.00°, γ = 90.00°
Space group I-42d (No. 122)
Unique sites:
1 Mg 0.1158 0.2500 0.1250 x8
2 Sn 0.0000 0.0000 0.5000 x4
3 F 0.0000 0.0000 0.0000 x4


# 2
DFT (PBE-GGA) results for an optimized crystal structure of Mg2SnF.

a = 6.8313 Å, b = 6.8313 Å, c = 6.8313 Å
α = 90.00°, β = 90.00°, γ = 90.00°
Space group Fm-3m (No. 225)
Unique sites:
1 Mg 0.2500 0.2500 0.2500 x8
2 Sn 0.0000 0.0000 0.0000 x4
3 F 0.0000 0.0000 0.5000 x4


# 3
DFT (PBE-GGA) results for an optimized crystal structure of MgSnF4.

a = 13.3134 Å, b = 5.5740 Å, c = 5.0408 Å
α = 90.00°, β = 108.27°, γ = 90.00°
Space group C2 (No. 5)
Unique sites:
1 Mg 0.0000 0.0000 0.0000 x2
2 Mg 0.0000 0.4620 0.5000 x2
3 Sn 0.2050 0.8582 0.7189 x4
4 F 0.0521 0.7399 0.7888 x4
5 F 0.0629 0.2230 0.7911 x4
6 F 0.1393 0.0133 0.3142 x4
7 F 0.1484 0.5356 0.4733 x4


# 4
DFT (PBE-GGA) results for an optimized crystal structure of MgSn3F9.

a = 15.2921 Å, b = 7.1196 Å, c = 9.7420 Å
α = 90.00°, β = 118.56°, γ = 90.00°
Space group Cc (No. 9)
Unique sites:
1 Mg 0.0000 0.1894 0.0000 x4
2 Sn 0.0691 0.4202 0.7053 x4
3 Sn 0.2427 0.0102 0.2375 x4
4 Sn 0.3331 0.4985 0.1198 x4
5 F 0.0983 0.0187 0.5468 x4
6 F 0.1171 0.4346 0.4025 x4
7 F 0.1270 0.3365 0.1422 x4
8 F 0.1963 0.2177 0.8348 x4
9 F 0.2931 0.2096 0.6409 x4
10 F 0.3779 0.4638 0.3670 x4
11 F 0.4413 0.0522 0.5231 x4
12 F 0.4731 0.3886 0.6735 x4
13 F 0.4789 0.2248 0.2850 x4


# 5
DFT (PBE-GGA) results for an optimized crystal structure of MgSnF4.

a = 4.1786 Å, b = 14.6558 Å, c = 5.6938 Å
α = 90.00°, β = 90.00°, γ = 90.00°
Space group Cmc2_1 (No. 36)
Unique sites:
1 Mg 0.0000 0.0869 0.0000 x4
2 Sn 0.0000 0.3425 0.0498 x4
3 F 0.0000 0.0202 0.2928 x4
4 F 0.0000 0.1715 0.7152 x4
5 F 0.0000 0.2049 0.1877 x4
6 F 0.0000 0.3988 0.4331 x4


# 6
DFT (PBE-GGA) results for an optimized crystal structure of MgSnF6.

a = 5.0489 Å, b = 5.0489 Å, c = 4.7863 Å
α = 90.00°, β = 90.00°, γ = 120.00°
Space group P312 (No. 149)
Unique sites:
1 Mg 0.0000 0.0000 0.0000 x1
2 Sn 0.6667 0.3333 0.5000 x1
3 F 0.3345 0.0265 0.7480 x6


# 7
DFT (PBE-GGA) results for an optimized crystal structure of MgSn2F6.

a = 5.6361 Å, b = 7.6752 Å, c = 9.3913 Å
α = 90.00°, β = 124.33°, γ = 90.00°
Space group P2_1/c (No. 14)
Unique sites:
1 Mg 0.0000 0.0000 0.0000 x2
2 Sn 0.2749 0.1255 0.7488 x4
3 F 0.1754 0.1039 0.2334 x4
4 F 0.2850 0.6977 0.6023 x4
5 F 0.2889 0.1347 0.9824 x4


# 8
DFT (PBE-GGA) results for an optimized crystal structure of MgSnF6.

a = 5.3410 Å, b = 5.3410 Å, c = 13.9323 Å
α = 90.00°, β = 90.00°, γ = 120.00°
Space group R-3 (No. 148, hexagonal axes)
Unique sites:
1 Mg 0.0000 0.0000 0.0000 x3
2 Sn 0.0000 0.0000 0.5000 x3
3 F 0.0005 0.6000 0.2497 x18


# 9
DFT (PBE-GGA) results for an optimized crystal structure of Mg5Sn3F12.

a = 13.7716 Å, b = 13.7716 Å, c = 13.7716 Å
α = 90.00°, β = 90.00°, γ = 90.00°
Space group Ia-3d (No. 230)
Unique sites:
1 Mg 0.0000 0.0000 0.0000 x16
2 Mg 0.0000 0.2500 0.3750 x24
3 Sn 0.0000 0.2500 0.1250 x24
4 F 0.0135 0.1456 0.9653 x96


# 10
DFT (PBE-GGA) results for an optimized crystal structure of MgSn2F4.

a = 3.9802 Å, b = 3.9802 Å, c = 14.2777 Å
α = 90.00°, β = 90.00°, γ = 90.00°
Space group I4/mmm (No. 139)
Unique sites:
1 Mg 0.0000 0.0000 0.0000 x2
2 Sn 0.0000 0.0000 0.3090 x4
3 F 0.0000 0.0000 0.1413 x4
4 F 0.0000 0.5000 0.0000 x4


# 11
DFT (PBE-GGA) results for an optimized crystal structure of MgSn2F6.

a = 5.7239 Å, b = 5.7239 Å, c = 8.1197 Å
α = 90.00°, β = 90.00°, γ = 90.00°
Space group P4/mnc (No. 128)
Unique sites:
1 Mg 0.0000 0.0000 0.0000 x2
2 Sn 0.0000 0.5000 0.2500 x4
3 F 0.0000 0.0000 0.2421 x4
4 F 0.1501 0.3120 0.0000 x8


# 12
DFT (PBE-GGA) results for an optimized crystal structure of MgSnF4.

a = 11.7589 Å, b = 5.6843 Å, c = 5.5072 Å
α = 90.00°, β = 109.86°, γ = 90.00°
Space group C2/c (No. 15)
Unique sites:
1 Mg 0.0000 0.1744 0.2500 x4
2 Sn 0.2500 0.2500 0.0000 x4
3 F 0.1012 0.0716 0.6244 x8
4 F 0.1274 0.3981 0.2444 x8


# 13
DFT (PBE-GGA) results for an optimized crystal structure of Mg3Tl4SnF12.

a = 8.5874 Å, b = 8.5874 Å, c = 8.5874 Å
α = 90.00°, β = 90.00°, γ = 90.00°
Space group Im-3m (No. 229)
Unique sites:
1 Mg 0.0000 0.0000 0.5000 x6
2 Tl 0.2500 0.2500 0.2500 x8
3 Sn 0.0000 0.0000 0.0000 x2
4 F 0.0000 0.0000 0.2735 x12
5 F 0.0000 0.2500 0.5000 x12


# 14
DFT (PBE-GGA) results for an optimized crystal structure of MgTl2SnF6.

a = 4.5006 Å, b = 4.5006 Å, c = 8.8688 Å
α = 90.00°, β = 90.00°, γ = 90.00°
Space group P4/mmm (No. 123)
Unique sites:
1 Mg 0.0000 0.0000 0.0000 x1
2 Tl 0.5000 0.5000 0.2239 x2
3 Sn 0.0000 0.0000 0.5000 x1
4 F 0.0000 0.0000 0.2175 x2
5 F 0.0000 0.5000 0.0000 x2
6 F 0.0000 0.5000 0.5000 x2


# 15
DFT (PBE-GGA) results for an optimized crystal structure of YMgSnF2.

a = 4.1485 Å, b = 4.1485 Å, c = 6.2219 Å
α = 90.00°, β = 90.00°, γ = 90.00°
Space group P4/mmm (No. 123)
Unique sites:
1 Y 0.0000 0.0000 0.0000 x1
2 Mg 0.5000 0.5000 0.5000 x1
3 Sn 0.5000 0.5000 0.0000 x1
4 F 0.0000 0.5000 0.5000 x2


# 16
DFT (PBE-GGA) results for an optimized crystal structure of MgZnSnF6.

a = 5.3865 Å, b = 5.3865 Å, c = 5.1489 Å
α = 90.00°, β = 90.00°, γ = 120.00°
Space group P312 (No. 149)
Unique sites:
1 Mg 0.0000 0.0000 0.0000 x1
2 Zn 0.3333 0.6667 0.0000 x1
3 Sn 0.6667 0.3333 0.5000 x1
4 F 0.0263 0.3263 0.2144 x6


# 17
DFT (PBE-GGA) results for an optimized crystal structure of MgZrSn2F.

a = 5.1698 Å, b = 5.1698 Å, c = 4.2613 Å
α = 90.00°, β = 90.00°, γ = 90.00°
Space group P4/mmm (No. 123)
Unique sites:
1 Mg 0.0000 0.0000 0.0000 x1
2 Zr 0.5000 0.5000 0.0000 x1
3 Sn 0.0000 0.5000 0.5000 x2
4 F 0.5000 0.5000 0.5000 x1


# 18
DFT (PBE-GGA) results for an optimized crystal structure of SrMgF3.

a = 4.2399 Å, b = 4.2399 Å, c = 4.2399 Å
α = 90.00°, β = 90.00°, γ = 90.00°
Space group Pm-3m (No. 221)
Unique sites:
1 Sr 0.0000 0.0000 0.0000 x1
2 Mg 0.5000 0.5000 0.5000 x1
3 F 0.0000 0.5000 0.5000 x3


Number 1: ΔE_f (raw) -1061 meV per atom. Number 2: ΔE_f (raw) -742 meV per atom. Number 3: ΔE_f (raw) -2878 meV per atom. Number 4: ΔE_f (raw) -2493 meV per atom. Number 5: ΔE_f (raw) -2889 meV per atom. Number 6: ΔE_f (raw) -2884 meV per atom. Number 7: ΔE_f (raw) -2692 meV per atom. Number 8: ΔE_f (raw) -2913 meV per atom. Number 9: ΔE_f (raw) -2588 meV per atom. Number 10: ΔE_f (raw) -2161 meV per atom. Number 11: ΔE_f (raw) -2536 meV per atom. Number 12: ΔE_f (raw) -2832 meV per atom. Number 13: ΔE_f (raw) -2616 meV per atom. Number 14: ΔE_f (raw) -2388 meV per atom. Number 15: ΔE_f (raw) -1827 meV per atom. Number 16: ΔE_f (raw) -2699 meV per atom. Number 17: ΔE_f (raw) -503 meV per atom. Number 18: ΔE_f (raw) -2973 meV per atom.